Computed, not measured: MnTc2Ge after structural relaxation at the PBE-GGA level of DFT.

energy of formation: -0.07 eV/atom
symmetry: No. 123
electronic total energy: -8.697 eV per atom
D(E_F): 1.048 states/eV per atom

Lattice parameters (Å, degrees): 3.0137 4.2946 4.2946 90.00 90.00 90.00
Each line ends with the local moment (μB).
Fractional positions:
Tc (0.0000, 0.5000, 0.0000)  -0.30
Tc (0.0000, 0.0000, 0.5000)  -0.30
Mn (0.5000, 0.0000, 0.0000)  2.73
Ge (0.5000, 0.5000, 0.5000)  0.02